No. 1
Below is an optimized crystal structure of Sm2YH, with properties calculated at the PBE level.

It has space group R-3m (No. 166, hexagonal axes), with a = 3.6706 Å, b = 3.6706 Å, c = 25.9747 Å, α = 90.00°, β = 90.00° and γ = 120.00°. The inequivalent atoms are Sm at (0.0000, 0.0000, 0.2212), Y at (0.0000, 0.0000, 0.0000) and H at (0.0000, 0.0000, 0.5000).

Its crystal system is trigonal. The final energy is -59.7 eV/cell. Its volume is 303.08 Å³/cell. The energy above the lowest structure with this stoichiometry is 0.0 meV/atom.

=====

No. 2
Below is an optimized crystal structure of Fe3Au, with properties calculated at the PBE level.

It has space group Pmmn (No. 59, origin choice 2), with a = 4.367 Å, b = 5.316 Å, c = 4.650 Å, α = 90.00°, β = 90.00° and γ = 90.00°. The inequivalent atoms are Fe at (0.250, 0.005, 0.150), Fe at (0.250, 0.250, 0.701) and Au at (0.250, 0.750, 0.648).

Its crystal system is orthorhombic. The final energy is -56.1 eV/cell. As for the formation energy: 0.6 eV per formula unit. Its volume is 107.96 Å³/cell.

=====

No. 3
Below is an optimized crystal structure of TlMoPOsRu, with properties calculated at the PBE level.

It has space group Cm (No. 8), with a = 8.844 Å, b = 2.933 Å, c = 7.812 Å, α = 90.00°, β = 115.35° and γ = 90.00°. The inequivalent atoms are Tl at (0.000, 0.000, 0.000), Mo at (0.421, 0.000, 0.301), P at (0.100, 0.000, 0.597), Os at (0.406, 0.000, 0.649) and Ru at (0.215, 0.500, 0.365).

Its crystal system is monoclinic. The final energy is -75.2 eV/cell. As for the formation energy: 1.5 eV per formula unit. Its volume is 183.15 Å³/cell. The energy above the lowest structure with this stoichiometry is 248.6 meV/atom.

=====

No. 4
Below is an optimized crystal structure of Zr2Te3H, with properties calculated at the PBE level.

It has space group C2/m (No. 12), with a = 16.051 Å, b = 3.911 Å, c = 10.555 Å, α = 90.00°, β = 116.42° and γ = 90.00°. The inequivalent atoms are Zr at (0.085, 0.000, 0.448), Zr at (0.129, 0.500, 0.784), Te at (0.051, 0.500, 0.225), Te at (0.161, 0.000, 0.001), Te at (0.228, 0.500, 0.618) and H at (0.060, 0.000, 0.631).

Its crystal system is monoclinic. The final energy is -135.5 eV/cell. Its volume is 593.35 Å³/cell.

=====

No. 5
Below is an optimized crystal structure of LaDy2In2, with properties calculated at the PBE level.

It has space group I4/mmm (No. 139), with a = 4.692 Å, b = 4.692 Å, c = 28.853 Å, α = 90.00°, β = 90.00° and γ = 90.00°. The inequivalent atoms are La at (0.000, 0.000, 0.131), Dy at (0.000, 0.000, 0.428), Dy at (0.000, 0.500, 0.250), In at (0.000, 0.000, 0.324) and In at (0.000, 0.500, 0.000).

Its crystal system is tetragonal. The final energy is -82.1 eV/cell. As for the formation energy: -0.9 eV per formula unit. Its volume is 635.14 Å³/cell. The energy above the lowest structure with this stoichiometry is 187.2 meV/atom.

=====

No. 6
Below is an optimized crystal structure of Nd3Cu2Sn4, with properties calculated at the PBE level.

It has space group C2/m (No. 12), with a = 11.496 Å, b = 4.597 Å, c = 8.859 Å, α = 90.00°, β = 106.17° and γ = 90.00°. The inequivalent atoms are Nd at (0.000, 0.000, 0.000), Nd at (0.131, 0.500, 0.689), Cu at (0.194, 0.500, 0.376), Sn at (0.084, 0.000, 0.391) and Sn at (0.206, 0.500, 0.080).

Its crystal system is monoclinic. The final energy is -87.8 eV/cell. As for the formation energy: -5.4 eV per formula unit. Its volume is 449.74 Å³/cell.

=====

No. 7
Below is an optimized crystal structure of LiHoP2Rh5, with properties calculated at the PBE level.

It has space group P4/mmm (No. 123), with a = 4.058 Å, b = 4.058 Å, c = 8.523 Å, α = 90.00°, β = 90.00° and γ = 90.00°. The inequivalent atoms are Li at (0.000, 0.000, 0.000), Ho at (0.000, 0.000, 0.500), P at (0.500, 0.500, 0.132), Rh at (0.000, 0.500, 0.253) and Rh at (0.500, 0.500, 0.500).

Its crystal system is tetragonal. The final energy is -60.7 eV/cell. As for the formation energy: -6.6 eV per formula unit. Its volume is 140.37 Å³/cell.

=====

No. 8
Below is an optimized crystal structure of HoAl2Si2, with properties calculated at the PBE level.

It has space group P-3m1 (No. 164), with a = 4.1992 Å, b = 4.1992 Å, c = 6.5397 Å, α = 90.00°, β = 90.00° and γ = 120.00°. The inequivalent atoms are Ho at (0.0000, 0.0000, 0.0000), Al at (0.3333, 0.6667, 0.6457) and Si at (0.3333, 0.6667, 0.2574).

Its crystal system is trigonal. The final energy is -24.8 eV/cell. Its volume is 99.87 Å³/cell.

=====

No. 9
Below is an optimized crystal structure of Li2GeHOs, with properties calculated at the PBE level.

It has space group P4/mmm (No. 123), with a = 3.732 Å, b = 3.732 Å, c = 3.954 Å, α = 90.00°, β = 90.00° and γ = 90.00°. The inequivalent atoms are Li at (0.000, 0.500, 0.000), Ge at (0.000, 0.000, 0.500), H at (0.500, 0.500, 0.000) and Os at (0.500, 0.500, 0.500).

Its crystal system is tetragonal. The final energy is -23.3 eV/cell. Its volume is 55.08 Å³/cell.

=====

No. 10
Below is an optimized crystal structure of Sc4GeIrO, with properties calculated at the PBE level.

It has space group Cmcm (No. 63), with a = 6.038 Å, b = 13.953 Å, c = 5.997 Å, α = 90.00°, β = 90.00° and γ = 90.00°. The inequivalent atoms are Sc at (0.000, 0.066, 0.250), Sc at (0.000, 0.419, 0.250), Sc at (0.250, 0.250, 0.000), Ge at (0.000, 0.385, 0.750), Ir at (0.000, 0.118, 0.750) and O at (0.000, 0.255, 0.250).

Its crystal system is orthorhombic. The final energy is -213.3 eV/cell. Its volume is 505.23 Å³/cell.

=====

No. 11
Below is an optimized crystal structure of PrSmErLu, with properties calculated at the PBE level.

It has space group F-43m (No. 216), with a = 8.057 Å, b = 8.057 Å, c = 8.057 Å, α = 90.00°, β = 90.00° and γ = 90.00°. The inequivalent atoms are Pr at (0.000, 0.000, 0.000), Sm at (0.000, 0.000, 0.500), Er at (0.250, 0.250, 0.250) and Lu at (0.250, 0.250, 0.750).

Its crystal system is cubic. The final energy is -72.8 eV/cell. As for the formation energy: 0.4 eV per formula unit. Its volume is 523.07 Å³/cell.

=====

No. 12
Below is an optimized crystal structure of IrPt5Rh4, with properties calculated at the PBE level.

It has space group P-1 (No. 2), with a = 4.788 Å, b = 5.529 Å, c = 6.186 Å, α = 77.04°, β = 75.00° and γ = 73.16°. The inequivalent atoms are Ir at (0.000, 0.000, 0.000), Pt at (0.000, 0.500, 0.000), Pt at (0.200, 0.802, 0.604), Pt at (0.392, 0.605, 0.202), Rh at (0.202, 0.297, 0.600) and Rh at (0.402, 0.097, 0.198).

Its crystal system is triclinic. The final energy is -68.6 eV/cell. As for the formation energy: -0.1 eV per formula unit. Its volume is 149.42 Å³/cell.

=====

Q: Number 3 is which compound?
A: TlMoPOsRu